# 1
The following is a DFT calculation (GGA-PBE) of a relaxed structure of PmHoGa2.

Cell and atoms, written as POSCAR:
```
PmHoGa2
1.0
3.614 0.000 0.000
0.000 3.614 0.000
0.000 0.000 7.204
Pm Ho Ga
1 1 2
Direct
0.000 0.000 0.000 Pm
0.000 0.000 0.500 Ho
0.500 0.500 0.263 Ga
0.500 0.500 0.737 Ga
```

Properties
* calculated density: 7.9 g/cm³
* calculated total energy: -4.43 eV/atom
* M_tot: 0.000 μB/f.u.
* energy of formation from the pure elements: -581 meV per atom

***

# 2
The following is a DFT calculation (GGA-PBE) of a relaxed structure of PmHo2Ga6.

Cell and atoms, written as POSCAR:
```
PmHo2Ga6
1.0
7.310 0.000 0.000
-3.655 6.331 0.000
0.000 0.000 4.151
Pm Ho Ga
1 2 6
Direct
0.000 0.000 0.000 Pm
0.333 0.667 0.000 Ho
0.667 0.333 0.000 Ho
0.000 0.334 0.500 Ga
0.000 0.666 0.500 Ga
0.334 0.000 0.500 Ga
0.334 0.334 0.500 Ga
0.666 0.000 0.500 Ga
0.666 0.666 0.500 Ga
```

Properties
* calculated density: 7.7 g/cm³
* calculated total energy: -4.20 eV/atom
* M_tot: 0.000 μB/f.u.
* energy of formation from the pure elements: -639 meV per atom

***

# 3
The following is a DFT calculation (GGA-PBE) of a relaxed structure of PmHoGa4.

Cell and atoms, written as POSCAR:
```
PmHoGa4
1.0
0.000 3.926 3.926
3.926 0.000 3.926
3.926 3.926 0.000
Pm Ho Ga
1 1 4
Direct
0.000 0.000 0.000 Pm
0.250 0.250 0.250 Ho
0.125 0.625 0.625 Ga
0.625 0.125 0.625 Ga
0.625 0.625 0.125 Ga
0.625 0.625 0.625 Ga
```

Properties
* calculated density: 8.1 g/cm³
* calculated total energy: -4.13 eV/atom
* M_tot: 0.000 μB/f.u.
* energy of formation from the pure elements: -552 meV per atom

***

# 4
The following is a DFT calculation (GGA-PBE) of a relaxed structure of PmHoGa2.

Cell and atoms, written as POSCAR:
```
PmHoGa2
1.0
1.850 1.068 8.756
-1.850 1.068 8.756
0.000 -2.137 8.756
Pm Ho Ga
1 1 2
Direct
0.000 0.000 0.000 Pm
0.500 0.500 0.500 Ho
0.248 0.248 0.248 Ga
0.752 0.752 0.752 Ga
```

Properties
* calculated density: 7.2 g/cm³
* calculated total energy: -4.25 eV/atom
* M_tot: 0.000 μB/f.u.
* energy of formation from the pure elements: -401 meV per atom

***

# 5
The following is a DFT calculation (GGA-PBE) of a relaxed structure of PmHo2Ga6.

Cell and atoms, written as POSCAR:
```
PmHo2Ga6
1.0
-2.163 3.536 6.605
2.163 -3.536 6.605
2.163 3.536 -6.605
Pm Ho Ga
1 2 6
Direct
0.000 0.000 0.000 Pm
0.374 0.874 0.500 Ho
0.626 0.126 0.500 Ho
0.009 0.315 0.694 Ga
0.316 0.500 0.816 Ga
0.379 0.685 0.694 Ga
0.621 0.315 0.306 Ga
0.684 0.500 0.184 Ga
0.991 0.685 0.306 Ga
```

Properties
* calculated density: 7.3 g/cm³
* calculated total energy: -4.05 eV/atom
* M_tot: 0.000 μB/f.u.
* energy of formation from the pure elements: -483 meV per atom

***

# 6
The following is a DFT calculation (GGA-PBE) of a relaxed structure of Pm2Ho6Ga.

Cell and atoms, written as POSCAR:
```
Pm2Ho6Ga
1.0
8.611 -4.646 0.000
8.611 4.646 0.000
-0.005 0.000 3.508
Pm Ho Ga
2 6 1
Direct
0.176 0.176 0.499 Pm
0.824 0.824 0.501 Pm
0.167 0.509 0.000 Ho
0.224 0.776 0.500 Ho
0.491 0.833 0.000 Ho
0.509 0.167 0.000 Ho
0.776 0.224 0.500 Ho
0.833 0.491 0.000 Ho
0.500 0.500 0.000 Ga
```

Properties
* calculated density: 8.0 g/cm³
* calculated total energy: -4.42 eV/atom
* M_tot: 0.000 μB/f.u.
* energy of formation from the pure elements: 28 meV per atom

***

# 7
The following is a DFT calculation (GGA-PBE) of a relaxed structure of PmHoGa.

Cell and atoms, written as POSCAR:
```
PmHoGa
1.0
3.705 0.000 0.000
0.000 5.259 0.000
-1.848 -0.002 8.271
Pm Ho Ga
2 2 2
Direct
0.077 0.250 0.152 Pm
0.923 0.750 0.848 Pm
0.223 0.750 0.446 Ho
0.777 0.250 0.554 Ho
0.419 0.251 0.839 Ga
0.581 0.749 0.161 Ga
```

Properties
* calculated density: 7.8 g/cm³
* calculated total energy: -4.50 eV/atom
* M_tot: 0.000 μB/f.u.
* energy of formation from the pure elements: -386 meV per atom

***

# 8
The following is a DFT calculation (GGA-PBE) of a relaxed structure of Pm2HoGa3.

Cell and atoms, written as POSCAR:
```
Pm2HoGa3
1.0
5.128 0.000 0.000
-2.564 4.441 0.000
0.000 0.000 12.622
Pm Ho Ga
4 2 6
Direct
0.000 0.000 0.000 Pm
0.000 0.000 0.500 Pm
0.333 0.667 0.170 Pm
0.667 0.333 0.830 Pm
0.333 0.667 0.666 Ho
0.667 0.333 0.334 Ho
0.000 0.000 0.253 Ga
0.000 0.000 0.747 Ga
0.333 0.667 0.419 Ga
0.333 0.667 0.915 Ga
0.667 0.333 0.085 Ga
0.667 0.333 0.581 Ga
```

Properties
* calculated density: 7.7 g/cm³
* calculated total energy: -4.43 eV/atom
* M_tot: 0.000 μB/f.u.
* energy of formation from the pure elements: -569 meV per atom

***

# 9
The following is a DFT calculation (GGA-PBE) of a relaxed structure of PmHoGa3.

Cell and atoms, written as POSCAR:
```
PmHoGa3
1.0
2.129 -12.834 0.000
2.129 12.834 0.000
0.000 0.000 4.196
Pm Ho Ga
2 2 6
Direct
0.073 0.927 0.750 Pm
0.927 0.073 0.250 Pm
0.204 0.796 0.250 Ho
0.796 0.204 0.750 Ho
0.323 0.677 0.250 Ga
0.379 0.621 0.750 Ga
0.476 0.524 0.750 Ga
0.524 0.476 0.250 Ga
0.621 0.379 0.250 Ga
0.677 0.323 0.750 Ga
```

Properties
* calculated density: 7.5 g/cm³
* calculated total energy: -4.34 eV/atom
* M_tot: 0.000 μB/f.u.
* energy of formation from the pure elements: -663 meV per atom

***

# 10
The following is a DFT calculation (GGA-PBE) of a relaxed structure of PmHo3Ga4.

Cell and atoms, written as POSCAR:
```
PmHo3Ga4
1.0
10.138 0.000 0.000
0.000 7.158 0.000
0.000 0.000 5.068
Pm Ho Ga
2 6 8
Direct
0.000 0.000 0.000 Pm
0.500 0.000 0.000 Pm
0.000 0.500 0.000 Ho
0.250 0.000 0.499 Ho
0.250 0.500 0.499 Ho
0.500 0.500 0.000 Ho
0.750 0.000 0.501 Ho
0.750 0.500 0.501 Ho
0.000 0.257 0.500 Ga
0.000 0.743 0.500 Ga
0.250 0.257 0.999 Ga
0.250 0.743 0.999 Ga
0.500 0.257 0.500 Ga
0.500 0.743 0.500 Ga
0.750 0.257 0.001 Ga
0.750 0.743 0.001 Ga
```

Properties
* calculated density: 8.3 g/cm³
* calculated total energy: -4.40 eV/atom
* M_tot: 0.000 μB/f.u.
* energy of formation from the pure elements: -575 meV per atom

***

# 11
The following is a DFT calculation (GGA-PBE) of a relaxed structure of Pm2HoGa3Pt4.

Cell and atoms, written as POSCAR:
```
Pm2HoGa3Pt4
1.0
4.228 0.000 0.000
0.000 4.228 0.000
0.000 0.000 11.474
Pm Ho Ga Pt
2 1 3 4
Direct
0.000 0.500 0.228 Pm
0.500 0.000 0.772 Pm
0.000 0.000 0.500 Ho
0.000 0.500 0.875 Ga
0.500 0.000 0.125 Ga
0.500 0.500 0.500 Ga
0.000 0.000 0.000 Pt
0.000 0.500 0.657 Pt
0.500 0.000 0.343 Pt
0.500 0.500 0.000 Pt
```

Properties
* calculated density: 11.7 g/cm³
* calculated total energy: -5.72 eV/atom
* M_tot: 0.000 μB/f.u.
* energy of formation from the pure elements: -987 meV per atom

***

# 12
The following is a DFT calculation (GGA-PBE) of a relaxed structure of Pm2HoGa4Pt3.

Cell and atoms, written as POSCAR:
```
Pm2HoGa4Pt3
1.0
4.232 0.000 0.000
0.000 4.232 0.000
0.000 0.000 11.620
Pm Ho Ga Pt
2 1 4 3
Direct
0.000 0.500 0.227 Pm
0.500 0.000 0.773 Pm
0.000 0.000 0.500 Ho
0.000 0.000 0.000 Ga
0.000 0.500 0.664 Ga
0.500 0.000 0.336 Ga
0.500 0.500 0.000 Ga
0.000 0.500 0.876 Pt
0.500 0.000 0.124 Pt
0.500 0.500 0.500 Pt
```

Properties
* calculated density: 10.5 g/cm³
* calculated total energy: -5.32 eV/atom
* M_tot: 0.000 μB/f.u.
* energy of formation from the pure elements: -886 meV per atom